Entry 1:
{"formula": "U2InNi12P3", "functional": "GGA-PBE", "state": "relaxed", "magmom_total_mub_per_fu": 2.0, "spacegroup": "R-3m, No. 166", "n_ef_per_ev_atom": 0.898, "cell": [[7.028, -0.240, -0.170], [3.262, 6.230, -0.170], [3.262, 1.899, 5.936]], "species": ["Ni", "Ni", "Ni", "Ni", "In", "U", "Ni", "Ni", "P", "P", "Ni", "Ni", "U", "Ni", "Ni", "Ni", "P", "Ni"], "fractional_positions": [[0.114, 0.647, 0.647], [0.160, 0.580, 0.160], [0.353, 0.886, 0.353], [0.353, 0.353, 0.886], [0.000, 0.000, 0.000], [0.601, 0.601, 0.601], [0.647, 0.114, 0.647], [0.160, 0.160, 0.580], [0.000, 0.500, 0.000], [0.000, 0.000, 0.500], [0.840, 0.420, 0.840], [0.840, 0.840, 0.420], [0.399, 0.399, 0.399], [0.420, 0.840, 0.840], [0.647, 0.647, 0.114], [0.886, 0.353, 0.353], [0.500, 0.000, 0.000], [0.580, 0.160, 0.160]]}

Entry 2:
{"formula": "YInNi2P", "functional": "GGA-PBE", "state": "relaxed", "magmom_total_mub_per_fu": 0.0, "spacegroup": "P4/mmm, No. 123", "n_ef_per_ev_atom": 1.124, "cell": [[-1.530, -1.680, -3.962], [-3.121, -3.966, 2.887], [-3.537, 2.886, 0.142]], "species": ["Ni", "P", "Ni", "Y", "In"], "fractional_positions": [[0.000, 0.000, 0.500], [0.500, 0.500, 0.500], [0.500, 0.000, 0.000], [0.000, 0.500, 0.000], [0.000, 0.000, 0.000]]}

Entry 3:
{"formula": "YInNiP2", "functional": "GGA-PBE", "state": "relaxed", "magmom_total_mub_per_fu": 0.6, "spacegroup": "P4/mmm, No. 123", "n_ef_per_ev_atom": 1.467, "cell": [[4.894, 0.000, 0.000], [0.000, 5.734, 0.000], [0.000, 0.000, 4.894]], "species": ["Ni", "P", "Y", "P", "In"], "fractional_positions": [[0.500, 0.500, 0.500], [0.000, 0.000, 0.500], [0.000, 0.500, 0.000], [0.500, 0.000, 0.000], [0.000, 0.000, 0.000]]}

Entry 4:
{"formula": "Pa2InNi", "functional": "GGA-PBE", "state": "relaxed", "magmom_total_mub_per_fu": 0.0, "spacegroup": "R-3m, No. 166", "n_ef_per_ev_atom": 1.539, "relative_energy_mev_per_atom": 452, "cell": [[-1.047, -1.348, 2.609], [-2.612, -1.702, -0.065], [4.507, -9.722, -1.354]], "species": ["Ni", "Pa", "In", "Pa"], "fractional_positions": [[0.000, 0.000, 0.000], [0.078, 0.078, 0.765], [0.500, 0.500, 0.500], [0.922, 0.922, 0.235]]}

Entry 5:
{"formula": "PaInNi2", "functional": "GGA-PBE", "state": "relaxed", "magmom_total_mub_per_fu": 0.0, "spacegroup": "Pmmn, No. 59", "n_ef_per_ev_atom": 0.967, "cell": [[4.598, 0.000, 0.000], [0.000, 4.707, 0.000], [0.000, 0.000, 6.539]], "species": ["Ni", "In", "Pa", "Pa", "Ni", "In", "Ni", "Ni"], "fractional_positions": [[0.000, 0.793, 0.728], [0.500, 0.751, 0.500], [0.500, 0.725, 0.000], [0.000, 0.275, 0.500], [0.000, 0.793, 0.272], [0.000, 0.249, 0.000], [0.500, 0.207, 0.772], [0.500, 0.207, 0.228]]}

Entry 6:
{"formula": "PaIn2Ni", "functional": "GGA-PBE", "state": "relaxed", "magmom_total_mub_per_fu": 0.0, "spacegroup": "R-3m, No. 166", "n_ef_per_ev_atom": 1.340, "cell": [[3.117, 0.000, 0.000], [1.558, 2.699, 0.000], [1.558, 0.900, 10.572]], "species": ["In", "Ni", "Pa", "In"], "fractional_positions": [[0.103, 0.103, 0.692], [0.500, 0.500, 0.500], [0.000, 0.000, 0.000], [0.897, 0.897, 0.308]]}

Entry 7:
{"formula": "PaInNi2", "functional": "GGA-PBE", "state": "relaxed", "magmom_total_mub_per_fu": 0.0, "spacegroup": "Fm-3m, No. 225", "n_ef_per_ev_atom": 1.315, "cell": [[4.637, 0.000, 0.000], [2.318, 4.015, 0.000], [2.318, 1.338, 3.786]], "species": ["Ni", "Ni", "In", "Pa"], "fractional_positions": [[0.250, 0.250, 0.250], [0.750, 0.750, 0.750], [0.500, 0.500, 0.500], [0.000, 0.000, 0.000]]}

Entry 8:
{"formula": "PaInNi2", "functional": "GGA-PBE", "state": "relaxed", "magmom_total_mub_per_fu": 0.0, "spacegroup": "P4/mmm, No. 123", "n_ef_per_ev_atom": 1.094, "cell": [[-0.482, 0.493, 3.049], [-1.308, -2.828, 0.251], [6.249, -2.764, 1.435]], "species": ["Ni", "Pa", "Ni", "In"], "fractional_positions": [[0.000, 0.000, 0.265], [0.500, 0.500, 0.000], [0.000, 0.000, 0.735], [0.500, 0.500, 0.500]]}

Number 1: energy of formation 1.6 meV per atom. Number 2: energy of formation 786.7 meV per atom. Number 3: energy of formation 1178.0 meV per atom. Number 4: energy of formation 289.1 meV per atom. Number 5: energy of formation -303.7 meV per atom. Number 6: energy of formation 288.0 meV per atom. Number 7: energy of formation -296.4 meV per atom. Number 8: energy of formation -217.6 meV per atom.